The following is a DFT calculation (PBE+U) of a geometry-optimized YPaCrO6 structure.

The theoretical density comes out at 6.51 g/cm³. For the total energy, the calculation gives -8.728 eV per atom.

a b c (Å): 5.3615 5.3615 4.7931
angles (deg): 90.00 90.00 120.00
Space group P312 (No. 149)
Asymmetric unit:
Y: 0.0000 0.0000 0.0000
Pa: 0.6667 0.3333 0.5000
Cr: 0.3333 0.6667 0.0000
O: 0.0219 0.3739 0.2345

The following is a DFT calculation (PBE+U) of a geometry-optimized Pa2ZnCrO8 structure.

The theoretical density comes out at 7.47 g/cm³. For the total energy, the calculation gives -8.236 eV per atom.

a b c (Å): 6.482 6.754 7.189
angles (deg): 90.00 90.55 90.00
Space group C2/m (No. 12)
Asymmetric unit:
Pa: 0.011 0.000 0.251
Zn: 0.000 0.500 0.000
Cr: 0.000 0.500 0.500
O: 0.010 0.308 0.713
O: 0.202 0.000 0.993
O: 0.209 0.000 0.508

The following is a DFT calculation (PBE+U) of a geometry-optimized PaZnCr2O8 structure.

The theoretical density comes out at 5.64 g/cm³. For the total energy, the calculation gives -7.366 eV per atom.

a b c (Å): 6.930 6.930 6.478
angles (deg): 90.00 90.00 90.00
Space group I-4m2 (No. 119)
Asymmetric unit:
Pa: 0.000 0.000 0.000
Zn: 0.000 0.500 0.250
Cr: 0.000 0.000 0.500
Cr: 0.000 0.500 0.750
O: 0.000 0.191 0.326
O: 0.000 0.303 0.926

The following is a DFT calculation (PBE+U) of a geometry-optimized ZrPaCr2O8 structure.

The theoretical density comes out at 6.59 g/cm³. For the total energy, the calculation gives -8.568 eV per atom.

a b c (Å): 5.093 5.093 10.763
angles (deg): 90.00 90.00 90.00
Space group I-4 (No. 82)
Asymmetric unit:
Zr: 0.000 0.000 0.000
Pa: 0.000 0.500 0.750
Cr: 0.000 0.000 0.500
Cr: 0.000 0.500 0.250
O: 0.178 0.781 0.161
O: 0.190 0.250 0.584